# AcSmIn, relaxed, DFT PBE-GGA
data_AcSmIn
_symmetry_space_group_name_H-M 'F -4 3 m'
_symmetry_Int_Tables_number 216
_symmetry_space_group_name_Hall 'F -4 2 3'
_cell_length_a 7.7394
_cell_length_b 7.7394
_cell_length_c 7.7394
_cell_angle_alpha 90.00
_cell_angle_beta 90.00
_cell_angle_gamma 90.00
loop_
_atom_site_label
_atom_site_type_symbol
_atom_site_fract_x
_atom_site_fract_y
_atom_site_fract_z
Ac1 Ac 0.0000 0.0000 0.0000
Sm1 Sm 0.0000 0.0000 0.5000
In1 In 0.2500 0.2500 0.7500
# Total moment (μB per atom): 0.10
# Relative energy among the computed polymorphs (meV per atom): 216.6
# E_form (eV per formula unit): -0.265